Entry 1:
First-principles (PBE) data for crystalline VAgI4 at its relaxed geometry, as listed in the Alexandria database.

N(E_F) = 1.201 states/eV per atom
distance to the lowest polymorph of the same formula = 214.0 meV per atom
magnetic moment = 0.3942 μB/atom
E_form (uncorrected) = -0.14 eV per atom

Cell: 8.079 8.079 9.323 Å, 90.00 90.00 90.00°
Sites, in units of the cell vectors:
V 0.000 0.500 0.000
V 0.500 0.000 0.500
Ag 0.000 0.000 0.000
Ag 0.000 0.000 0.500
I 0.236 0.267 0.000
I 0.236 0.733 0.000
I 0.267 0.236 0.500
I 0.267 0.764 0.500
I 0.733 0.236 0.500
I 0.733 0.764 0.500
I 0.764 0.267 0.000
I 0.764 0.733 0.000



Entry 2:
First-principles (PBE) data for crystalline Na2As2IrPt at its relaxed geometry, as listed in the Alexandria database.

N(E_F) = 0.519 states/eV per atom
formation energy from the elements = -212 kJ/mol of formula units
magnetic moment = 0.0000 μB/atom

Cell: 8.341 8.341 8.341 Å, 139.82 58.34 139.55°
Sites, in units of the cell vectors:
Na 0.173 0.233 0.406
Na 0.327 0.733 0.060
Na 0.673 0.267 0.940
Na 0.827 0.767 0.594
As 0.106 0.731 0.837
As 0.394 0.231 0.625
As 0.606 0.769 0.375
As 0.894 0.269 0.163
Ir 0.250 0.750 0.500
Ir 0.750 0.250 0.500
Pt 0.250 0.250 0.000
Pt 0.750 0.750 0.000



Which value of magnetic moment does entry 1 give?
0.3942 μB/atom



Among the records above, which one has the highest magnetic moment?
VAgI4